(1)
Below is a PBEsol-optimized structure of MnPt3, with properties calculated at the meta-GGA SCAN level.

DOS at the Fermi energy ... 1.053 states/eV/atom
Energy of formation from the pure elements ... -1.6 eV/f.u.
Magnetic moment ... 1.03 μB per atom
Electronic total energy ... -57.61 eV per atom

Cell and atoms, written as POSCAR:
```
MnPt3
1.0
-2.530 -0.860 0.671
0.544 -2.464 -1.106
2.611 -2.439 6.721
Mn Pt
1 3
Cartesian
0.000 0.000 0.000
-0.381 -2.233 1.357
1.007 -3.530 4.929
1.306 -1.220 3.360
```



(2)
Below is a PBEsol-optimized structure of Mn3Pt, with properties calculated at the meta-GGA SCAN level.

DOS at the Fermi energy ... 0.746 states/eV/atom
Energy of formation from the pure elements ... -1.3 eV/f.u.
Magnetic moment ... 1.14 μB per atom
Electronic total energy ... -31.55 eV per atom

Cell and atoms, written as POSCAR:
```
Mn3Pt
1.0
2.600 0.000 0.000
0.000 2.600 0.000
0.000 0.000 7.098
Pt Mn
1 3
Cartesian
1.300 1.300 0.000
1.300 1.300 3.549
0.000 0.000 5.178
0.000 0.000 1.919
```



(3)
Below is a PBEsol-optimized structure of MnPt3, with properties calculated at the meta-GGA SCAN level.

DOS at the Fermi energy ... 0.661 states/eV/atom
Energy of formation from the pure elements ... -1.1 eV/f.u.
Magnetic moment ... 1.15 μB per atom
Electronic total energy ... -57.49 eV per atom

Cell and atoms, written as POSCAR:
```
MnPt3
1.0
2.752 0.000 0.000
-1.376 2.383 0.000
0.000 0.000 8.950
Pt Mn
3 1
Cartesian
1.376 0.794 6.857
1.376 0.794 2.094
0.000 0.000 4.475
0.000 0.000 0.000
```



(4)
Below is a PBEsol-optimized structure of MnPt3, with properties calculated at the meta-GGA SCAN level.

DOS at the Fermi energy ... 0.718 states/eV/atom
Energy of formation from the pure elements ... -1.9 eV/f.u.
Magnetic moment ... 1.22 μB per atom
Electronic total energy ... -57.69 eV per atom

Cell and atoms, written as POSCAR:
```
MnPt3
1.0
2.796 0.000 0.000
0.000 4.710 -0.021
0.000 -1.515 4.459
Pt Mn
3 1
Cartesian
0.000 1.597 2.219
1.398 -0.758 2.230
1.398 2.355 -0.010
0.000 0.000 0.000
```